P.
The following is a DFT calculation (GGA-PBE) of CePrTc after structural relaxation.

Geometry as POSCAR:
```
CePrTc
1.0
-5.4493 0.9510 -3.6691
-3.8539 -1.5288 5.3274
0.6974 7.3310 0.8643
Pr Ce Tc
4 4 4
direct
0.6657 0.6481 0.8483
0.8343 0.6481 0.3483
0.3343 0.3519 0.1517
0.1657 0.3519 0.6517
0.1759 0.8264 0.0133
0.8241 0.1736 0.9867
0.3241 0.8264 0.5133
0.6759 0.1736 0.4867
0.5606 0.9657 0.2187
0.0606 0.0343 0.2813
0.4394 0.0343 0.7813
0.9394 0.9657 0.7187
```

Calculated values
density of states at the Fermi level: 15.063 states/eV/cell
M_tot: 0.000 μB/atom
symmetry: No. 14


Q.
The following is a DFT calculation (GGA-PBE) of CePrTc after structural relaxation.

Geometry as POSCAR:
```
CePrTc
1.0
-3.7031 -3.0388 0.9623
0.7110 -3.8825 2.8800
-1.9651 -0.1172 4.4720
Pr Ce Tc
1 1 1
direct
0.0000 0.0000 0.0000
0.5000 0.5000 0.5000
0.2500 0.2500 0.2500
```

Calculated values
density of states at the Fermi level: 5.033 states/eV/cell
M_tot: 0.102 μB/atom
symmetry: No. 216


R.
The following is a DFT calculation (GGA-PBE) of CePrTc after structural relaxation.

Geometry as POSCAR:
```
CePrTc
1.0
4.8447 0.0000 0.0242
0.0000 5.1594 0.0000
-1.0752 0.0000 6.5894
Tc Pr Ce
2 2 2
direct
0.1431 0.2500 0.9295
0.8569 0.7500 0.0705
0.0906 0.7500 0.6634
0.9094 0.2500 0.3366
0.4276 0.7500 0.1829
0.5724 0.2500 0.8172
```

Calculated values
density of states at the Fermi level: 6.545 states/eV/cell
M_tot: 0.000 μB/atom
symmetry: No. 11


S.
The following is a DFT calculation (GGA-PBE) of CePrTc after structural relaxation.

Geometry as POSCAR:
```
CePrTc
1.0
3.6844 0.0000 0.0000
0.0000 4.7470 0.0000
0.0000 -2.3735 4.1110
Tc Ce Pr
1 1 1
direct
0.2903 0.6667 0.3333
0.0655 0.0000 0.0000
0.6441 0.3333 0.6667
```

Calculated values
density of states at the Fermi level: 3.970 states/eV/cell
M_tot: 0.000 μB/atom
symmetry: No. 156


Energetically preferred structure: R | next structure: +0.028 eV/atom


P.
The following is a DFT calculation (GGA-PBE) of CePrTc after structural relaxation.

Geometry as POSCAR:
```
CePrTc
1.0
3.5077 0.0000 0.0000
0.0000 3.5077 0.0000
-1.7539 -1.7539 5.7167
Pr Ce Tc
1 1 1
direct
0.0081 0.0081 0.0163
0.3095 0.3095 0.6190
0.6824 0.6824 0.3648
```

Calculated values
density of states at the Fermi level: 3.430 states/eV/cell
M_tot: 0.000 μB/atom
symmetry: No. 107


Q.
The following is a DFT calculation (GGA-PBE) of CePrTc after structural relaxation.

Geometry as POSCAR:
```
CePrTc
1.0
5.7327 0.0000 0.0000
-2.8663 4.1336 -1.4019
0.0000 -0.6486 6.8543
Ce Pr Tc
2 2 2
direct
0.8017 0.6035 0.4240
0.1983 0.3965 0.5760
0.6287 0.2574 0.8609
0.3713 0.7426 0.1391
0.9519 0.9039 0.7867
0.0481 0.0961 0.2133
```

Calculated values
density of states at the Fermi level: 9.417 states/eV/cell
M_tot: 0.000 μB/atom
symmetry: No. 12


Energetically preferred structure: Q | next structure: +0.029 eV/atom